P.
DFT (PBE) results for crystalline EuZnIn2 at its relaxed geometry.

Output
space-group type: Fm-3m (225)
mass density: 7.4 g/cm³
crystal system: cubic

abc: 5.210 5.210 5.210
angles: 60.00 60.00 60.00
Last column: magnetic moment on the atom in μB.
Sites, in units of the cell vectors:
Zn 0.000 0.000 0.000  -0.01
Eu 0.500 0.500 0.500  6.82
In 0.750 0.750 0.750  0.01
In 0.250 0.250 0.250  0.01

***

Q.
DFT (PBE) results for crystalline EuZnIn2 at its relaxed geometry.

Output
space-group type: P4/mmm (123)
mass density: 7.4 g/cm³
crystal system: tetragonal

abc: 4.706 4.608 4.608
angles: 90.00 90.00 90.00
Last column: magnetic moment on the atom in μB.
Sites, in units of the cell vectors:
In 0.000 0.000 0.500  0.03
In 0.000 0.500 0.000  0.03
Eu 0.500 0.500 0.500  6.85
Zn 0.500 0.000 0.000  0.02

***

Relative to the most stable one, in eV/atom, the structures come out at P 0.058; Q 0.000.

***

P.
DFT (PBE) results for crystalline EuZrIn2 at its relaxed geometry.

Output
space-group type: R-3m (166)
mass density: 7.4 g/cm³
crystal system: trigonal

abc: 3.429 3.429 10.605
angles: 80.70 80.70 60.00
Last column: magnetic moment on the atom in μB.
Sites, in units of the cell vectors:
Eu 0.500 0.500 0.500  -7.00
In 0.745 0.745 0.766  0.02
Zr 0.000 0.000 0.000  0.12
In 0.255 0.255 0.234  0.02

***

Q.
DFT (PBE) results for crystalline EuZrIn2 at its relaxed geometry.

Output
space-group type: Fm-3m (225)
mass density: 7.7 g/cm³
crystal system: cubic

abc: 5.251 5.251 5.251
angles: 60.00 60.00 60.00
Last column: magnetic moment on the atom in μB.
Sites, in units of the cell vectors:
Zr 0.500 0.500 0.500  0.14
In 0.750 0.750 0.750  -0.02
Eu 0.000 0.000 0.000  6.76
In 0.250 0.250 0.250  -0.02

***

Relative to the most stable one, in eV/atom, the structures come out at P 0.072; Q 0.000.

***

P.
DFT (PBE) results for crystalline LiEuIr at its relaxed geometry.

Output
space-group type: P-6m2 (187)
mass density: 9.9 g/cm³
crystal system: hexagonal

abc: 3.375 4.484 4.484
angles: 120.00 90.00 90.00
Last column: magnetic moment on the atom in μB.
Sites, in units of the cell vectors:
Li 0.166 0.000 0.000  -0.03
Eu 0.667 0.333 0.667  -6.77
Ir 0.168 0.667 0.333  0.16

***

Q.
DFT (PBE) results for crystalline LiEuIr at its relaxed geometry.

Output
space-group type: I4mm (107)
mass density: 10.0 g/cm³
crystal system: tetragonal

abc: 3.415 3.415 5.538
angles: 107.96 107.96 90.00
Last column: magnetic moment on the atom in μB.
Sites, in units of the cell vectors:
Li 0.655 0.655 0.310  -0.03
Ir 0.256 0.256 0.513  0.10
Eu 0.938 0.938 0.877  -6.83

***

Relative to the most stable one, in eV/atom, the structures come out at P 0.000; Q 0.043.